No. 1
A plane-wave DFT calculation with GGA-PBE was carried out for an optimized crystal structure of TbPrSmTh2.

The formation energy is 187.3 kJ/mol of formula units.

abc: 6.7220 6.7086 8.6193
angles: 112.90 90.00 90.00
Fractional positions:
Tb 0.2500 0.6519 0.3038
Tb 0.7500 0.3481 0.6962
Pr 0.2500 0.8484 0.6968
Pr 0.7500 0.1516 0.3032
Sm 0.7500 0.7233 0.4466
Sm 0.2500 0.2767 0.5534
Th 0.5000 0.2553 0.0000
Th 0.0000 0.7447 0.0000
Th 0.5000 0.7447 0.0000
Th 0.0000 0.2553 0.0000

---

No. 2
A plane-wave DFT calculation with GGA-PBE was carried out for an optimized crystal structure of PPtSeCl2.

Its energy above the most stable polymorph in this dataset is 0.000 eV/atom. For the formation energy without anion corrections, the calculation gives 438 meV/atom.

abc: 4.8541 4.8541 4.7265
angles: 90.00 90.00 90.00
Last column: magnetic moment on the atom in μB.
Fractional positions:
P 0.0000 0.0000 0.5000  -0.08
Se 0.5000 0.5000 0.5000  0.59
Pt 0.0000 0.0000 0.0000  -0.01
Cl 0.0000 0.5000 0.0000  0.07
Cl 0.5000 0.0000 0.0000  0.07

---

No. 3
A plane-wave DFT calculation with GGA-PBE was carried out for an optimized crystal structure of CeCdP2O8.

For the formation energy without anion corrections, the calculation gives -2330 meV/atom.

abc: 5.2170 5.2170 7.1234
angles: 90.00 90.00 120.00
Fractional positions:
Ce 0.0000 0.0000 0.0000
Cd 0.0000 0.0000 0.5000
P 0.6667 0.3333 0.1915
P 0.3333 0.6667 0.8085
O 0.3333 0.6667 0.0240
O 0.3409 0.1709 0.2607
O 0.8291 0.1700 0.2607
O 0.6667 0.3333 0.9760
O 0.1709 0.8300 0.7393
O 0.6591 0.8291 0.7393
O 0.1700 0.3409 0.7393
O 0.8300 0.6591 0.2607

---

No. 4
A plane-wave DFT calculation with GGA-PBE was carried out for an optimized crystal structure of Mn2BeVH.

Its energy above the most stable polymorph in this dataset is 0.000 eV/atom.

abc: 3.8103 3.8103 3.1206
angles: 90.00 90.00 90.00
Last column: magnetic moment on the atom in μB.
Fractional positions:
Be 0.0000 0.0000 0.5000  -0.05
Mn 0.0000 0.5000 0.0000  1.46
Mn 0.5000 0.0000 0.0000  1.46
H 0.0000 0.0000 0.0000  -0.02
V 0.5000 0.5000 0.5000  -0.88

---

No. 5
A plane-wave DFT calculation with GGA-PBE was carried out for an optimized crystal structure of KMg2Ag.

Its energy above the most stable polymorph in this dataset is 0.181 eV/atom. The formation energy is 88.6 kJ/mol of formula units.

abc: 5.7938 5.7938 10.0982
angles: 73.33 73.33 90.00
Fractional positions:
K 0.5000 0.5000 0.0000
K 0.2500 0.7500 0.5000
Mg 0.8742 0.1250 0.2500
Mg 0.8758 0.6250 0.2500
Mg 0.3750 0.1258 0.7500
Mg 0.8750 0.1242 0.7500
Ag 0.0000 0.0000 0.0000
Ag 0.7500 0.2500 0.5000

---

No. 6
A plane-wave DFT calculation with GGA-PBE was carried out for an optimized crystal structure of BaBeSe2.

For the formation energy without anion corrections, the calculation gives -1225 meV/atom.

abc: 6.7011 6.7011 4.9449
angles: 82.15 82.15 34.08
Fractional positions:
Be 0.2001 0.2001 0.9284
Ba 0.4852 0.4852 0.6621
Se 0.0453 0.0453 0.1414
Se 0.7694 0.7694 0.7681

---

No. 7
A plane-wave DFT calculation with GGA-PBE was carried out for an optimized crystal structure of BeZnMo2.

Its energy above the most stable polymorph in this dataset is 0.542 eV/atom. The formation energy is 241.1 kJ/mol of formula units.

abc: 3.6427 3.6427 9.5382
angles: 78.99 78.99 90.00
Fractional positions:
Be 0.5000 0.5000 0.0000
Be 0.2500 0.7500 0.5000
Mo 0.6135 0.1250 0.2500
Mo 0.1365 0.6250 0.2500
Mo 0.3750 0.3865 0.7500
Mo 0.8750 0.8635 0.7500
Zn 0.0000 0.0000 0.0000
Zn 0.7500 0.2500 0.5000

---

No. 8
A plane-wave DFT calculation with GGA-PBE was carried out for an optimized crystal structure of Ho2ZnGa.

The formation energy is -183.6 kJ/mol of formula units.

abc: 3.5448 5.0312 5.0312
angles: 90.00 90.00 90.00
Fractional positions:
Zn 0.5000 0.5000 0.5000
Ho 0.0000 0.0000 0.5000
Ho 0.0000 0.5000 0.0000
Ga 0.5000 0.0000 0.0000

---

No. 9
A plane-wave DFT calculation with GGA-PBE was carried out for an optimized crystal structure of TiSiH3.

Its energy above the most stable polymorph in this dataset is 0.252 eV/atom.

abc: 3.4189 3.4189 3.4189
angles: 90.00 90.00 90.00
Last column: magnetic moment on the atom in μB.
Fractional positions:
H 0.0000 0.5000 0.0000  0.00
H 0.0000 0.0000 0.5000  0.01
H 0.5000 0.0000 0.0000  0.00
Si 0.0000 0.0000 0.0000  -0.02
Ti 0.5000 0.5000 0.5000  0.56

---

No. 10
A plane-wave DFT calculation with GGA-PBE was carried out for an optimized crystal structure of NaErCuTe2.

For the formation energy without anion corrections, the calculation gives -680 meV/atom.

abc: 4.5397 7.8010 8.2720
angles: 97.86 90.00 90.00
Fractional positions:
Na 0.1594 0.5000 0.7500
Na 0.8406 0.5000 0.2500
Er 0.4961 0.0000 0.2500
Er 0.5039 0.0000 0.7500
Cu 0.0000 0.0000 0.0000
Cu 0.0000 0.0000 0.5000
Te 0.6807 0.7328 0.9677
Te 0.6807 0.2672 0.5323
Te 0.3193 0.7328 0.4677
Te 0.3193 0.2672 0.0323

---

No. 11
A plane-wave DFT calculation with GGA-PBE was carried out for an optimized crystal structure of CsNaScTe3.

For the formation energy without anion corrections, the calculation gives -979 meV/atom.

abc: 7.0156 8.4882 9.4130
angles: 116.80 90.00 90.00
Fractional positions:
Cs 0.7500 0.2950 0.5900
Cs 0.2500 0.7050 0.4100
Na 0.2500 0.4060 0.8121
Na 0.7500 0.5940 0.1879
Sc 0.2500 0.0649 0.1298
Sc 0.7500 0.9351 0.8702
Te 0.2500 0.2247 0.4493
Te 0.0000 0.2436 0.0000
Te 0.5000 0.7564 0.0000
Te 0.5000 0.2436 0.0000
Te 0.0000 0.7564 0.0000
Te 0.7500 0.7753 0.5507

---

No. 12
A plane-wave DFT calculation with GGA-PBE was carried out for an optimized crystal structure of B2TeIr2.

For the formation energy without anion corrections, the calculation gives 17 meV/atom.

abc: 3.0660 3.0660 7.7763
angles: 78.63 78.63 90.00
Fractional positions:
B 0.7500 0.2500 0.5000
B 0.2500 0.7500 0.5000
Ir 0.3495 0.3495 0.3009
Ir 0.6505 0.6505 0.6991
Te 0.0000 0.0000 0.0000

---

No. 13
A plane-wave DFT calculation with GGA-PBE was carried out for an optimized crystal structure of DyThNb4.

The formation energy is 52.5 kJ/mol of formula units.

abc: 5.7447 5.7447 5.7447
angles: 60.00 60.00 60.00
Fractional positions:
Nb 0.6254 0.6254 0.1238
Nb 0.6254 0.1238 0.6254
Nb 0.6254 0.6254 0.6254
Nb 0.1238 0.6254 0.6254
Th 0.2500 0.2500 0.2500
Dy 0.0000 0.0000 0.0000

---

No. 14
A plane-wave DFT calculation with GGA-PBE was carried out for an optimized crystal structure of CuAsPd6.

Its energy above the most stable polymorph in this dataset is 0.161 eV/atom. The formation energy is -12.0 kJ/mol of formula units.

abc: 6.2674 6.2787 5.2368
angles: 52.93 53.38 59.83
Fractional positions:
Cu 0.0000 0.0000 0.0000
As 0.5000 0.5000 0.5000
Pd 0.0240 0.4943 0.7375
Pd 0.7454 0.0189 0.7412
Pd 0.5063 0.2554 0.2614
Pd 0.2546 0.9811 0.2588
Pd 0.9760 0.5057 0.2625
Pd 0.4937 0.7446 0.7386

---

No. 15
A plane-wave DFT calculation with GGA-PBE was carried out for an optimized crystal structure of SrCo2Tc.

Its energy above the most stable polymorph in this dataset is 0.311 eV/atom. The formation energy is 228.2 kJ/mol of formula units.

abc: 3.0118 3.0739 7.3918
angles: 90.00 90.00 90.00
Last column: magnetic moment on the atom in μB.
Fractional positions:
Co 0.0000 0.0000 0.0174  1.30
Co 0.5000 0.5000 0.1636  1.59
Sr 0.0000 0.0000 0.4894  -0.03
Tc 0.5000 0.5000 0.8295  0.01

---

No. 16
A plane-wave DFT calculation with GGA-PBE was carried out for an optimized crystal structure of RbWS2Cl.

Its energy above the most stable polymorph in this dataset is 2.948 eV/atom. For the formation energy without anion corrections, the calculation gives 2280 meV/atom.

abc: 5.3349 5.3349 5.3795
angles: 90.00 90.00 90.00
Fractional positions:
S 0.0000 0.5000 0.0000
S 0.5000 0.0000 0.0000
Rb 0.0000 0.0000 0.0000
W 0.5000 0.5000 0.5000
Cl 0.0000 0.0000 0.5000

---

No. 17
A plane-wave DFT calculation with GGA-PBE was carried out for an optimized crystal structure of InGa3P.

Its energy above the most stable polymorph in this dataset is 0.000 eV/atom. The formation energy is 122.1 kJ/mol of formula units.

abc: 4.8566 4.8566 4.8566
angles: 90.00 90.00 90.00
Fractional positions:
P 0.0000 0.0000 0.0000
Ga 0.0000 0.5000 0.0000
Ga 0.0000 0.0000 0.5000
Ga 0.5000 0.0000 0.0000
In 0.5000 0.5000 0.5000

---

No. 18
A plane-wave DFT calculation with GGA-PBE was carried out for an optimized crystal structure of TbTm2Ru2.

Its energy above the most stable polymorph in this dataset is 0.000 eV/atom. The formation energy is -168.3 kJ/mol of formula units.

abc: 3.3607 3.3879 10.1942
angles: 80.43 90.00 90.00
Fractional positions:
Tb 0.0000 0.0000 0.0000
Tm 0.0000 0.1665 0.6671
Tm 0.0000 0.8335 0.3329
Ru 0.5000 0.4094 0.1811
Ru 0.5000 0.5906 0.8189

---

No. 19
A plane-wave DFT calculation with GGA-PBE was carried out for an optimized crystal structure of InFeSn2.

The formation energy is 80.8 kJ/mol of formula units.

abc: 3.4747 3.4747 8.9176
angles: 78.77 78.77 60.00
Last column: magnetic moment on the atom in μB.
Fractional positions:
Fe 0.0000 0.0000 0.0000  2.14
Sn 0.2655 0.2655 0.2036  -0.06
Sn 0.7345 0.7345 0.7964  -0.06
In 0.5000 0.5000 0.5000  0.02

---

No. 20
A plane-wave DFT calculation with GGA-PBE was carried out for an optimized crystal structure of LiTiPO4F.

For the formation energy without anion corrections, the calculation gives -2617 meV/atom.

abc: 5.2308 5.4272 7.4925
angles: 106.16 108.79 97.75
Last column: magnetic moment on the atom in μB.
Fractional positions:
Li 0.2628 0.6106 0.1801  0.00
Li 0.7372 0.3894 0.8199  0.00
Ti 0.0000 0.0000 0.0000  0.98
Ti 0.0000 0.0000 0.5000  0.85
P 0.3204 0.6371 0.7667  0.01
P 0.6796 0.3629 0.2333  0.01
O 0.3691 0.2388 0.0896  -0.01
O 0.6849 0.6538 0.3377  0.00
O 0.3151 0.3462 0.6623  0.00
O 0.7666 0.2149 0.3823  -0.01
O 0.6309 0.7612 0.9104  -0.01
O 0.2334 0.7851 0.6177  -0.01
O 0.8658 0.3434 0.1056  0.00
O 0.1342 0.6566 0.8944  0.00
F 0.1292 0.9251 0.2651  0.00
F 0.8708 0.0749 0.7349  0.00

---

No. 21
A plane-wave DFT calculation with GGA-PBE was carried out for an optimized crystal structure of Ag3Pt13.

The formation energy is 71.3 kJ/mol of formula units.

abc: 5.6349 5.6349 9.3023
angles: 90.00 90.00 120.00
Fractional positions:
Ag 0.9999 0.0001 0.7517
Ag 0.3334 0.6666 0.0000
Ag 0.9999 0.0001 0.2483
Pt 0.9984 0.4994 0.7491
Pt 0.5007 0.4993 0.7491
Pt 0.5006 0.0016 0.7491
Pt 0.8300 0.6601 0.0000
Pt 0.3399 0.1700 0.0000
Pt 0.8299 0.1701 0.0000
Pt 0.9984 0.4993 0.2509
Pt 0.5007 0.4993 0.2509
Pt 0.5007 0.0016 0.2509
Pt 0.1696 0.8304 0.5000
Pt 0.6613 0.8304 0.5000
Pt 0.1696 0.3387 0.5000
Pt 0.6668 0.3332 0.5000

---

No. 22
A plane-wave DFT calculation with GGA-PBE was carried out for an optimized crystal structure of Ca2BeNi3As4.

The formation energy is -597.6 kJ/mol of formula units.

abc: 4.0859 4.0859 9.9079
angles: 90.00 90.00 90.00
Fractional positions:
Ca 0.5000 0.0000 0.2511
Ca 0.0000 0.5000 0.7489
Be 0.5000 0.5000 0.5000
Ni 0.0000 0.0000 0.5000
Ni 0.5000 0.0000 0.8735
Ni 0.0000 0.5000 0.1265
As 0.5000 0.5000 0.0000
As 0.0000 0.0000 0.0000
As 0.5000 0.0000 0.6333
As 0.0000 0.5000 0.3667

---

No. 23
A plane-wave DFT calculation with GGA-PBE was carried out for an optimized crystal structure of Pm12Ho3Sc.

The formation energy is 33.0 kJ/mol of formula units.

abc: 5.0974 5.0974 20.3427
angles: 90.00 90.00 90.00
Fractional positions:
Pm 0.5000 0.5000 0.0000
Pm 0.5000 0.5000 0.2477
Pm 0.5000 0.5000 0.5000
Pm 0.5000 0.5000 0.7523
Pm 0.5000 0.0000 0.1217
Pm 0.5000 0.0000 0.3739
Pm 0.5000 0.0000 0.6261
Pm 0.5000 0.0000 0.8783
Pm 0.0000 0.5000 0.1217
Pm 0.0000 0.5000 0.3739
Pm 0.0000 0.5000 0.6261
Pm 0.0000 0.5000 0.8783
Ho 0.0000 0.0000 0.2478
Ho 0.0000 0.0000 0.5000
Ho 0.0000 0.0000 0.7522
Sc 0.0000 0.0000 0.0000

---

No. 24
A plane-wave DFT calculation with GGA-PBE was carried out for an optimized crystal structure of EuYPd.

Its energy above the most stable polymorph in this dataset is 0.000 eV/atom. The formation energy is -145.2 kJ/mol of formula units.

abc: 3.6168 3.6168 6.8976
angles: 105.20 105.20 90.00
Last column: magnetic moment on the atom in μB.
Fractional positions:
Eu 0.0255 0.0255 0.0510  6.91
Y 0.2939 0.2939 0.5878  0.09
Pd 0.6806 0.6806 0.3613  0.02

---

No. 25
A plane-wave DFT calculation with GGA-PBE was carried out for an optimized crystal structure of Cr2HgBr.

Its energy above the most stable polymorph in this dataset is 0.128 eV/atom. For the formation energy without anion corrections, the calculation gives 390 meV/atom.

abc: 3.4056 3.6298 7.2520
angles: 90.22 90.00 90.00
Last column: magnetic moment on the atom in μB.
Fractional positions:
Br 0.5000 0.7500 0.7500  0.00
Cr 0.0000 0.7483 0.0422  3.85
Cr 0.0000 0.7517 0.4578  3.85
Hg 0.5000 0.2500 0.2500  0.02